Entry from the Alexandria database: a relaxed structure of IrOs2 (PBE).

Unit cell a=3.319 b=3.319 c=8.135 alpha=90.00 beta=90.00 gamma=90.00
Space group I4/mmm (No. 139)
Symmetry-distinct sites (fractional):
Ir (0.000, 0.000, 0.000)
Os (0.000, 0.000, 0.333)

Results
Formation enthalpy at 0 K = 58 kJ/mol of atoms